Entry 1:
VASP calculation (GGA-PBE) on a relaxed structure of Pu2InTe4.

a b c (Å): 8.3128 8.3128 7.7028
angles (deg): 117.12 117.12 31.08
Fractional positions:
Pu 0.2488 0.2488 0.2394
Pu 0.7512 0.7512 0.7606
In 0.0000 0.0000 0.0000
Te 0.1233 0.1233 0.7846
Te 0.3723 0.3723 0.6974
Te 0.6277 0.6277 0.3026
Te 0.8767 0.8767 0.2154

Properties
D(E_F): 25.1 states/eV/f.u.
Final energy: -7.027 eV per atom


Entry 2:
VASP calculation (GGA-PBE) on a relaxed structure of Pu3In5Te12.

a b c (Å): 15.4427 15.4427 15.4427
angles (deg): 109.47 109.47 109.47
Fractional positions:
Pu 0.1250 0.2500 0.3750
Pu 0.1250 0.3750 0.7500
Pu 0.2500 0.3750 0.1250
Pu 0.2500 0.8750 0.6250
Pu 0.3750 0.1250 0.2500
Pu 0.3750 0.7500 0.1250
Pu 0.6250 0.2500 0.8750
Pu 0.6250 0.8750 0.7500
Pu 0.7500 0.1250 0.3750
Pu 0.7500 0.6250 0.8750
Pu 0.8750 0.6250 0.2500
Pu 0.8750 0.7500 0.6250
In 0.0000 0.0000 0.0000
In 0.0000 0.0000 0.5000
In 0.0000 0.5000 0.0000
In 0.0000 0.5000 0.5000
In 0.1250 0.7500 0.8750
In 0.1250 0.8750 0.2500
In 0.2500 0.1250 0.8750
In 0.2500 0.6250 0.3750
In 0.3750 0.2500 0.6250
In 0.3750 0.6250 0.7500
In 0.5000 0.0000 0.0000
In 0.5000 0.0000 0.5000
In 0.5000 0.5000 0.0000
In 0.5000 0.5000 0.5000
In 0.6250 0.3750 0.2500
In 0.6250 0.7500 0.3750
In 0.7500 0.3750 0.6250
In 0.7500 0.8750 0.1250
In 0.8750 0.1250 0.7500
In 0.8750 0.2500 0.1250
Te 0.0466 0.2195 0.1317
Te 0.0466 0.3271 0.9149
Te 0.0851 0.6317 0.4122
Te 0.0851 0.9534 0.6729
Te 0.0878 0.7195 0.6729
Te 0.0878 0.8683 0.4149
Te 0.1317 0.0466 0.2195
Te 0.1317 0.5851 0.9122
Te 0.1729 0.2195 0.5878
Te 0.1729 0.4534 0.5851
Te 0.2195 0.1317 0.0466
Te 0.2195 0.5878 0.1729
Te 0.2805 0.3271 0.9122
Te 0.2805 0.4534 0.3683
Te 0.3271 0.9122 0.2805
Te 0.3271 0.9149 0.0466
Te 0.3683 0.2805 0.4534
Te 0.3683 0.5878 0.9149
Te 0.4122 0.0851 0.6317
Te 0.4122 0.8271 0.7805
Te 0.4149 0.0878 0.8683
Te 0.4149 0.8271 0.5466
Te 0.4534 0.3683 0.2805
Te 0.4534 0.5851 0.1729
Te 0.5466 0.4149 0.8271
Te 0.5466 0.6317 0.7195
Te 0.5851 0.1729 0.4534
Te 0.5851 0.9122 0.1317
Te 0.5878 0.1729 0.2195
Te 0.5878 0.9149 0.3683
Te 0.6317 0.4122 0.0851
Te 0.6317 0.7195 0.5466
Te 0.6729 0.0851 0.9534
Te 0.6729 0.0878 0.7195
Te 0.7195 0.5466 0.6317
Te 0.7195 0.6729 0.0878
Te 0.7805 0.4122 0.8271
Te 0.7805 0.8683 0.9534
Te 0.8271 0.5466 0.4149
Te 0.8271 0.7805 0.4122
Te 0.8683 0.4149 0.0878
Te 0.8683 0.9534 0.7805
Te 0.9122 0.1317 0.5851
Te 0.9122 0.2805 0.3271
Te 0.9149 0.0466 0.3271
Te 0.9149 0.3683 0.5878
Te 0.9534 0.6729 0.0851
Te 0.9534 0.7805 0.8683

Properties
D(E_F): 35.2 states/eV/f.u.
Final energy: -5.211 eV per atom


Entry 3:
VASP calculation (GGA-PBE) on a relaxed structure of PuIn2Te6.

a b c (Å): 9.4462 9.4462 8.0931
angles (deg): 101.92 101.92 86.20
Fractional positions:
Pu 0.0844 0.9156 0.7500
Pu 0.9156 0.0844 0.2500
In 0.2152 0.4142 0.6877
In 0.4142 0.2152 0.1877
In 0.5858 0.7848 0.8123
In 0.7848 0.5858 0.3123
Te 0.0053 0.2028 0.6353
Te 0.0189 0.6255 0.8128
Te 0.2028 0.0053 0.1353
Te 0.3442 0.4830 0.4137
Te 0.3745 0.9811 0.6872
Te 0.4830 0.3442 0.9137
Te 0.5170 0.6558 0.0863
Te 0.6255 0.0189 0.3128
Te 0.6558 0.5170 0.5863
Te 0.7972 0.9947 0.8647
Te 0.9811 0.3745 0.1872
Te 0.9947 0.7972 0.3647

Properties
D(E_F): 11.9 states/eV/f.u.
Final energy: -4.613 eV per atom


Entry 4:
VASP calculation (GGA-PBE) on a relaxed structure of PuIn3Te4.

a b c (Å): 15.7430 15.7430 15.7430
angles (deg): 16.20 16.20 16.20
Fractional positions:
Pu 0.0000 0.0000 0.0000
In 0.2481 0.2481 0.2481
In 0.5000 0.5000 0.5000
In 0.7519 0.7519 0.7519
Te 0.1306 0.1306 0.1306
Te 0.3720 0.3720 0.3720
Te 0.6280 0.6280 0.6280
Te 0.8694 0.8694 0.8694

Properties
D(E_F): 13.6 states/eV/f.u.
Final energy: -4.863 eV per atom


Entry 5:
VASP calculation (GGA-PBE) on a relaxed structure of Pu3InTe6.

a b c (Å): 7.6575 7.6575 14.4416
angles (deg): 90.00 90.00 60.22
Fractional positions:
Pu 0.1645 0.8355 0.5000
Pu 0.1661 0.5005 0.2453
Pu 0.5005 0.1661 0.7453
Pu 0.4995 0.8339 0.2453
Pu 0.8339 0.4995 0.7453
Pu 0.8355 0.1645 0.0000
In 0.1451 0.8549 0.7502
In 0.8549 0.1451 0.2502
Te 0.1638 0.1673 0.3691
Te 0.1673 0.1638 0.8691
Te 0.1679 0.5047 0.6267
Te 0.1741 0.8259 0.1195
Te 0.4893 0.5107 0.3687
Te 0.4953 0.8321 0.6267
Te 0.5047 0.1679 0.1267
Te 0.5107 0.4893 0.8687
Te 0.8259 0.1741 0.6195
Te 0.8321 0.4953 0.1267
Te 0.8327 0.8362 0.3691
Te 0.8362 0.8327 0.8691

Properties
D(E_F): 40.3 states/eV/f.u.
Final energy: -7.178 eV per atom


Entry 6:
VASP calculation (GGA-PBE) on a relaxed structure of Pu2Tl3InTe6.

a b c (Å): 7.8067 7.8067 8.4443
angles (deg): 98.87 98.87 119.96
Fractional positions:
Pu 0.1662 0.8338 0.0000
Pu 0.8338 0.1662 0.0000
Tl 0.0000 0.0000 0.5000
Tl 0.3302 0.6698 0.5000
Tl 0.6698 0.3302 0.5000
In 0.5000 0.5000 0.0000
Te 0.0974 0.4298 0.7882
Te 0.2384 0.2384 0.2141
Te 0.4298 0.0974 0.7882
Te 0.5702 0.9026 0.2118
Te 0.7616 0.7616 0.7859
Te 0.9026 0.5702 0.2118

Properties
D(E_F): 26.6 states/eV/f.u.
Final energy: -5.377 eV per atom


Entry 7:
VASP calculation (GGA-PBE) on a relaxed structure of PuTlInTe3.

a b c (Å): 9.2469 4.6756 10.7904
angles (deg): 90.00 108.87 90.00
Fractional positions:
Pu 0.1891 0.2500 0.1353
Pu 0.8109 0.7500 0.8647
Tl 0.2649 0.7500 0.7777
Tl 0.7351 0.2500 0.2223
In 0.3980 0.7500 0.3728
In 0.6020 0.2500 0.6272
Te 0.0247 0.2500 0.8345
Te 0.2741 0.2500 0.4680
Te 0.4156 0.7500 0.1103
Te 0.5844 0.2500 0.8897
Te 0.7259 0.7500 0.5320
Te 0.9753 0.7500 0.1655

Properties
D(E_F): 13.2 states/eV/f.u.
Final energy: -5.348 eV per atom


Entry 8:
VASP calculation (GGA-PBE) on a relaxed structure of TmPuIn2Te4.

a b c (Å): 7.6743 4.4171 8.4511
angles (deg): 90.00 107.47 90.00
Fractional positions:
Tm 0.0000 0.0000 0.0000
Pu 0.5000 0.5000 0.0000
In 0.0000 0.5000 0.5000
In 0.5000 0.0000 0.5000
Te 0.2318 0.5000 0.2180
Te 0.2539 0.0000 0.7803
Te 0.7461 0.0000 0.2197
Te 0.7682 0.5000 0.7820

Properties
D(E_F): 15.1 states/eV/f.u.
Final energy: -5.421 eV per atom


Entry 9:
VASP calculation (GGA-PBE) on a relaxed structure of Tm2PuIn3Te6.

a b c (Å): 7.6445 7.6445 8.4425
angles (deg): 98.68 98.68 119.99
Fractional positions:
Tm 0.1671 0.8329 0.0000
Tm 0.8329 0.1671 0.0000
Pu 0.5000 0.5000 0.0000
In 0.0000 0.0000 0.5000
In 0.3351 0.6649 0.5000
In 0.6649 0.3351 0.5000
Te 0.0858 0.4269 0.7810
Te 0.2311 0.2311 0.2171
Te 0.4269 0.0858 0.7810
Te 0.5731 0.9142 0.2190
Te 0.7689 0.7689 0.7829
Te 0.9142 0.5731 0.2190

Properties
D(E_F): 15.1 states/eV/f.u.
Final energy: -5.049 eV per atom


Entry 10:
VASP calculation (GGA-PBE) on a relaxed structure of PuUIn2Te4.

a b c (Å): 7.6486 4.4096 8.5864
angles (deg): 90.00 107.18 90.00
Fractional positions:
Pu 0.0000 0.0000 0.0000
U 0.5000 0.5000 0.0000
In 0.0000 0.5000 0.5000
In 0.5000 0.0000 0.5000
Te 0.2453 0.5000 0.2205
Te 0.2645 0.0000 0.7795
Te 0.7355 0.0000 0.2205
Te 0.7547 0.5000 0.7795

Properties
D(E_F): 20.4 states/eV/f.u.
Final energy: -6.042 eV per atom


Entry 11:
VASP calculation (GGA-PBE) on a relaxed structure of Y2PuIn3Te6.

a b c (Å): 7.6871 7.6871 8.4492
angles (deg): 98.73 98.73 119.99
Fractional positions:
Y 0.1668 0.8332 0.0000
Y 0.8332 0.1668 0.0000
Pu 0.5000 0.5000 0.0000
In 0.0000 0.0000 0.5000
In 0.3338 0.6662 0.5000
In 0.6662 0.3338 0.5000
Te 0.0887 0.4263 0.7786
Te 0.2360 0.2360 0.2207
Te 0.4263 0.0887 0.7786
Te 0.5737 0.9113 0.2214
Te 0.7640 0.7640 0.7793
Te 0.9113 0.5737 0.2214

Properties
D(E_F): 15.4 states/eV/f.u.
Final energy: -5.411 eV per atom


Entry 12:
VASP calculation (GGA-PBE) on a relaxed structure of PuTh4In3.

a b c (Å): 9.9582 9.9582 9.9582
angles (deg): 151.05 151.05 41.40
Fractional positions:
Pu 0.0000 0.0000 0.0000
Th 0.1243 0.6243 0.5000
Th 0.3757 0.8757 0.5000
Th 0.6243 0.1243 0.5000
Th 0.8757 0.3757 0.5000
In 0.2498 0.2498 0.0000
In 0.5000 0.5000 0.0000
In 0.7502 0.7502 0.0000

Properties
D(E_F): 12.7 states/eV/f.u.
Final energy: -6.709 eV per atom